[1]
The following is a DFT calculation (PBE) of Ni2GeSe after structural relaxation.

Unit cell a=6.0749 b=6.0749 c=6.0749 alpha=90.00 beta=90.00 gamma=90.00
Last column: nearest neighbours and their distance in Å.
Space group Fm-3m (No. 225)
Inequivalent atoms, fractional coordinates:
Ni: 0.2500 0.2500 0.2500  4 Ge 2.63, 4 Se 2.63
Ge: 0.0000 0.0000 0.0000  8 Ni 2.63
Se: 0.0000 0.0000 0.5000  8 Ni 2.63

**V**: 224 Å³/cell
**Total moment**: 0.00 μB per formula unit
**Energy relative to the elements, uncorrected**: 0.06 eV per atom
**Excess energy over the best structure of this formula in the dataset**: 103 meV/atom
**Total energy**: -4.8580 eV/atom
**N(E_F)**: 1.7 states/eV/f.u.

---

[2]
The following is a DFT calculation (PBE) of Er5FeSb2 after structural relaxation.

Unit cell a=5.4157 b=15.1970 c=13.9911 alpha=90.00 beta=90.00 gamma=90.00
Last column: nearest neighbours and their distance in Å.
Space group Cmcm (No. 63)
Inequivalent atoms, fractional coordinates:
Er: 0.0000 0.0520 0.1250  1 Fe 2.51
Er: 0.0000 0.2781 0.1087  1 Fe 2.57
Er: 0.0000 0.3016 0.7500  2 Fe 2.74
Fe: 0.0000 0.1704 0.2500  6 Er 2.51-2.74
Sb: 0.0000 0.1450 0.5689  5 Er 3.00-3.20

**V**: 1152 Å³/cell
**Total moment**: 0.00 μB per formula unit
**Energy relative to the elements, uncorrected**: -0.19 eV per atom
**Total energy**: -5.1332 eV/atom
**N(E_F)**: 6.7 states/eV/f.u.

---

[3]
The following is a DFT calculation (PBE) of LaLuOs after structural relaxation.

Unit cell a=6.8436 b=6.8436 c=6.8436 alpha=90.00 beta=90.00 gamma=90.00
Last column: nearest neighbours and their distance in Å.
Space group F-43m (No. 216)
Inequivalent atoms, fractional coordinates:
La: 0.0000 0.0000 0.0000  4 Os 2.96
Lu: 0.0000 0.0000 0.5000  4 Os 2.96
Os: 0.2500 0.2500 0.7500  4 La 2.96, 4 Lu 2.96

**Formation enthalpy at 0 K**: -0.167 eV/atom
**V**: 321 Å³/cell
**Total moment**: 0.00 μB per formula unit
**Excess energy over the best structure of this formula in the dataset**: 21 meV/atom
**Total energy**: -7.0597 eV/atom
**N(E_F)**: 1.8 states/eV/f.u.

---

[4]
The following is a DFT calculation (PBE) of AlSb3 after structural relaxation.

Unit cell a=4.3422 b=4.3422 c=22.5426 alpha=90.00 beta=90.00 gamma=90.00
Last column: nearest neighbours and their distance in Å.
Space group I4/mmm (No. 139)
Inequivalent atoms, fractional coordinates:
Al: 0.0000 0.0000 0.1477  8 Sb 3.17-3.18
Sb: 0.0000 0.0000 0.3895  4 Al 3.18, 4 Sb 3.30
Sb: 0.0000 0.5000 0.0000  8 Sb 3.07-3.30
Sb: 0.0000 0.5000 0.2500  4 Sb 3.07, 4 Al 3.17

**V**: 425 Å³/cell
**Total moment**: 0.00 μB per formula unit
**Energy relative to the elements, uncorrected**: 0.27 eV per atom
**Excess energy over the best structure of this formula in the dataset**: 215 meV/atom
**Total energy**: -3.7597 eV/atom
**N(E_F)**: 2.2 states/eV/f.u.

---

[5]
The following is a DFT calculation (PBE) of ReRuS2 after structural relaxation.

Unit cell a=3.0080 b=3.0080 c=23.4628 alpha=90.00 beta=90.00 gamma=120.00
Last column: nearest neighbours and their distance in Å.
Space group R-3m (No. 166, hexagonal axes)
Inequivalent atoms, fractional coordinates:
Re: 0.0000 0.0000 0.0000  6 S 2.41
Ru: 0.0000 0.0000 0.5000  2 S 2.23
S: 0.0000 0.0000 0.4048  1 Ru 2.23, 3 Re 2.41

**V**: 184 Å³/cell
**Total moment**: 0.00 μB per formula unit
**Energy relative to the elements, uncorrected**: 0.07 eV per atom
**Excess energy over the best structure of this formula in the dataset**: 47 meV/atom
**Total energy**: -7.4253 eV/atom
**N(E_F)**: 4.3 states/eV/f.u.

---

[6]
The following is a DFT calculation (PBE) of Mg2ZrTl after structural relaxation.

Unit cell a=6.1443 b=9.7912 c=3.1072 alpha=90.00 beta=90.00 gamma=90.00
Last column: nearest neighbours and their distance in Å.
Space group Cmmm (No. 65)
Inequivalent atoms, fractional coordinates:
Mg: 0.2500 0.2500 0.0000  4 Mg 3.07-3.11, 4 Zr 3.28, 4 Tl 3.28
Zr: 0.0000 0.0000 0.5000  2 Tl 3.07, 2 Zr 3.11, 8 Mg 3.28
Tl: 0.0000 0.5000 0.5000  2 Zr 3.07, 2 Tl 3.11, 8 Mg 3.28

**Formation enthalpy at 0 K**: 0.026 eV/atom
**V**: 187 Å³/cell
**Total moment**: 0.00 μB per formula unit
**Excess energy over the best structure of this formula in the dataset**: 136 meV/atom
**Total energy**: -3.4995 eV/atom
**N(E_F)**: 3.3 states/eV/f.u.